Record 1
Compound: TcHg
Source: Alexandria via LeMat-Bulk
Functional: PBE
Structure: optimized geometry

Unit cell a=2.887 b=4.702 c=5.164 alpha=90.00 beta=90.00 gamma=90.00
Atoms (fractional coordinates):
Hg  0.000  0.000  0.013
Hg  0.500  0.500  0.820
Tc  0.000  0.500  0.340
Tc  0.500  0.000  0.493

Calculated values
For the formation energy, the calculation gives 1.4 eV per formula unit. Its symmetry is No. 59. The value obtained for the total energy is -4.654 eV per atom. The calculation puts the energy relative to the lowest polymorph listed for this composition at 437 meV per atom.

***

Record 2
Compound: VCu2Ru
Source: Alexandria via LeMat-Bulk
Functional: PBE
Structure: optimized geometry

Unit cell a=4.198 b=4.198 c=4.198 alpha=60.00 beta=60.00 gamma=60.00
Atoms (fractional coordinates):
Ru  0.500  0.500  0.500
Cu  0.250  0.250  0.250
Cu  0.750  0.750  0.750
V  0.000  0.000  0.000

Calculated values
For the formation energy, the calculation gives 1.0 eV per formula unit. Its symmetry is No. 225. The value obtained for the total energy is -6.392 eV per atom. The calculation puts the energy relative to the lowest polymorph listed for this composition at 0 meV per atom.